Entry 1:
An optimized crystal structure of Cs2AgAs2. Source: Alexandria, functional PBE.

## Properties
Space group   P4/mbm, No. 127
Fermi-level density of states   8.841 states/eV/cell
V   31.90 Å³/atom
Formation energy   -0.141 eV/atom
E above lowest polymorph   0.0 meV/atom

Unit cell a=7.286 b=7.286 c=6.010 alpha=90.00 beta=90.00 gamma=90.00
Atoms (fractional coordinates):
Cs  0.176  0.324  0.000
Cs  0.324  0.824  0.000
Cs  0.676  0.176  0.000
Cs  0.824  0.676  0.000
Ag  0.000  0.000  0.500
Ag  0.500  0.500  0.500
As  0.121  0.621  0.500
As  0.379  0.121  0.500
As  0.621  0.879  0.500
As  0.879  0.379  0.500

***

Entry 2:
An optimized crystal structure of Na2SbRuS. Source: Alexandria, functional PBE.

## Properties
Space group   P4/mmm, No. 123
Formation energy without anion corrections   0.66 eV/atom
Fermi-level density of states   4.956 states/eV/cell
V   31.66 Å³/atom

Unit cell a=5.662 b=5.662 c=4.938 alpha=90.00 beta=90.00 gamma=90.00
Atoms (fractional coordinates):
Na  0.000  0.500  0.000
Na  0.500  0.000  0.000
Sb  0.000  0.000  0.000
Ru  0.000  0.000  0.500
S  0.500  0.500  0.500

***

Entry 3:
An optimized crystal structure of LaCo2TeMo. Source: Alexandria, functional PBE.

## Properties
Space group   P4/mmm, No. 123
Formation energy without anion corrections   1.23 eV/atom
Fermi-level density of states   8.459 states/eV/cell
V   26.17 Å³/atom

Unit cell a=4.686 b=4.686 c=5.958 alpha=90.00 beta=90.00 gamma=90.00
Atoms (fractional coordinates):
La  0.000  0.000  0.000
Co  0.000  0.500  0.500
Co  0.500  0.000  0.500
Te  0.000  0.000  0.500
Mo  0.500  0.500  0.000

***

Entry 4:
An optimized crystal structure of AlZn2Ni. Source: Alexandria, functional PBE.

## Properties
Space group   C2/m, No. 12
Fermi-level density of states   1.052 states/eV/cell
V   13.37 Å³/atom
Formation energy   -0.219 eV/atom

Unit cell a=4.893 b=4.893 c=4.032 alpha=114.14 beta=114.14 gamma=37.90
Atoms (fractional coordinates):
Al  0.000  0.000  0.000
Zn  0.236  0.236  0.736
Zn  0.764  0.764  0.264
Ni  0.500  0.500  0.500

***

Entry 5:
An optimized crystal structure of Zr2CuPb. Source: Alexandria, functional PBE.

## Properties
Space group   Imm2, No. 44
Fermi-level density of states   2.756 states/eV/cell
V   20.89 Å³/atom
Formation energy   -0.071 eV/atom

Unit cell a=5.860 b=5.860 c=5.860 alpha=147.30 beta=129.10 gamma=61.82
Atoms (fractional coordinates):
Zr  0.000  0.000  0.000
Zr  0.734  0.234  0.500
Cu  0.223  0.723  0.500
Pb  0.450  0.450  0.000

***

Entry 6:
An optimized crystal structure of NaSb2TeAs. Source: Alexandria, functional PBE.

## Properties
Space group   P4/mmm, No. 123
Formation energy without anion corrections   0.29 eV/atom
Fermi-level density of states   6.395 states/eV/cell
V   33.45 Å³/atom
E above lowest polymorph   0.0 meV/atom

Unit cell a=5.407 b=5.407 c=5.721 alpha=90.00 beta=90.00 gamma=90.00
Atoms (fractional coordinates):
Na  0.000  0.000  0.000
Sb  0.000  0.500  0.500
Sb  0.500  0.000  0.500
Te  0.500  0.500  0.000
As  0.500  0.500  0.500

***

Entry 7:
An optimized crystal structure of Ho5TmCu6. Source: Alexandria, functional PBE.

## Properties
Space group   Cmmm, No. 65
Fermi-level density of states   5.314 states/eV/cell
V   20.45 Å³/atom
Formation energy   -0.273 eV/atom

Unit cell a=7.734 b=7.734 c=6.836 alpha=90.00 beta=90.00 gamma=143.13
Atoms (fractional coordinates):
Ho  0.000  0.000  0.000
Ho  0.333  0.667  0.000
Ho  0.334  0.666  0.500
Ho  0.666  0.334  0.500
Ho  0.667  0.333  0.000
Tm  0.000  0.000  0.500
Cu  0.166  0.834  0.251
Cu  0.166  0.834  0.749
Cu  0.500  0.500  0.252
Cu  0.500  0.500  0.748
Cu  0.834  0.166  0.251
Cu  0.834  0.166  0.749

***

Entry 8:
An optimized crystal structure of As2OsBr. Source: Alexandria, functional PBE.

## Properties
Space group   Cmm2, No. 35
Formation energy without anion corrections   0.73 eV/atom
Fermi-level density of states   3.740 states/eV/cell
V   19.43 Å³/atom
E above lowest polymorph   658.1 meV/atom

Unit cell a=3.081 b=3.081 c=9.510 alpha=90.00 beta=90.00 gamma=120.60
Atoms (fractional coordinates):
As  0.000  0.000  0.000
As  0.500  0.500  0.269
Os  0.500  0.500  0.801
Br  0.000  0.000  0.570

***

Entry 9:
An optimized crystal structure of MgGa2Ag. Source: Alexandria, functional PBE.

## Properties
Space group   R3m, No. 160
Fermi-level density of states   1.382 states/eV/cell
V   19.78 Å³/atom
Formation energy   -0.071 eV/atom

Unit cell a=5.267 b=5.267 c=5.267 alpha=50.09 beta=50.09 gamma=50.09
Atoms (fractional coordinates):
Mg  0.000  0.000  0.000
Ga  0.218  0.218  0.218
Ga  0.421  0.421  0.421
Ag  0.800  0.800  0.800

***

Entry 10:
An optimized crystal structure of AlCdBr2. Source: Alexandria, functional PBE.

## Properties
Space group   Cmmm, No. 65
Formation energy without anion corrections   -0.19 eV/atom
Fermi-level density of states   2.746 states/eV/cell
V   30.59 Å³/atom
E above lowest polymorph   298.5 meV/atom

Unit cell a=3.784 b=3.784 c=10.365 alpha=90.00 beta=90.00 gamma=124.44
Atoms (fractional coordinates):
Al  0.000  0.000  0.000
Cd  0.000  0.000  0.500
Br  0.500  0.500  0.183
Br  0.500  0.500  0.817

***

Entry 11:
An optimized crystal structure of Al2CdBr. Source: Alexandria, functional PBE.

## Properties
Space group   I-4m2, No. 119
Formation energy without anion corrections   0.22 eV/atom
Fermi-level density of states   1.858 states/eV/cell
V   24.21 Å³/atom
E above lowest polymorph   175.8 meV/atom

Unit cell a=6.137 b=6.137 c=6.137 alpha=139.43 beta=139.43 gamma=58.72
Atoms (fractional coordinates):
Al  0.000  0.000  0.000
Al  0.750  0.250  0.500
Cd  0.500  0.500  0.000
Br  0.250  0.750  0.500

***

Entry 12:
An optimized crystal structure of Li3ZnAu. Source: Alexandria, functional PBE.

## Properties
Space group   P-1, No. 2
Fermi-level density of states   2.931 states/eV/cell
V   15.32 Å³/atom
Formation energy   -0.347 eV/atom
E above lowest polymorph   0.0 meV/atom

Unit cell a=4.082 b=5.471 c=7.382 alpha=104.36 beta=105.78 gamma=90.31
Atoms (fractional coordinates):
Li  0.000  0.000  0.000
Li  0.000  0.500  0.000
Li  0.201  0.094  0.402
Li  0.402  0.699  0.803
Li  0.598  0.301  0.197
Li  0.799  0.906  0.598
Zn  0.196  0.596  0.396
Zn  0.804  0.404  0.604
Au  0.398  0.198  0.795
Au  0.602  0.802  0.205